Entry from Alexandria: a geometry-optimized Tb7Ho4Mg structure (GGA-PBE).

a b c (Å): 6.346 5.568 11.436
angles (deg): 75.88 78.05 89.99
Fractional positions:
Tb 0.198 0.454 0.092
Mg 0.000 0.000 0.000
Tb 0.438 0.790 0.419
Tb 0.994 0.135 0.729
Tb 0.500 0.000 0.000
Ho 0.889 0.708 0.583
Ho 0.659 0.383 0.234
Tb 0.006 0.865 0.271
Ho 0.111 0.292 0.417
Tb 0.802 0.546 0.908
Tb 0.562 0.210 0.581
Ho 0.341 0.617 0.766

As for the space group: C2/m. The calculation puts the polymorph energy (0 for the lowest one) at 0.037 eV/atom. For the formation energy, the calculation gives 0.115 eV/atom. For the final energy, the calculation gives -4.244 eV/atom.

=====

Entry from Alexandria: a geometry-optimized Tb7Ho3Mg structure (GGA-PBE).

a b c (Å): 8.537 6.982 6.982
angles (deg): 120.00 90.00 90.00
Fractional positions:
Ho 0.785 0.502 0.498
Tb 0.118 0.167 0.833
Mg 0.447 0.333 0.667
Tb 0.448 0.830 0.170
Tb 0.116 0.667 0.333
Tb 0.448 0.339 0.170
Ho 0.785 0.997 0.498
Ho 0.785 0.502 0.003
Tb 0.118 0.666 0.833
Tb 0.118 0.167 0.334
Tb 0.448 0.830 0.661

As for the space group: P3m1. For the formation energy, the calculation gives 0.193 eV/atom. For the final energy, the calculation gives -4.147 eV/atom.

=====

Entry from Alexandria: a geometry-optimized Tb3HoMg structure (GGA-PBE).

a b c (Å): 6.480 9.892 9.892
angles (deg): 81.17 79.22 79.22
Fractional positions:
Tb 0.650 0.868 0.721
Mg 0.750 0.927 0.073
Tb 0.457 0.213 0.596
Tb 0.859 0.009 0.379
Tb 0.359 0.379 0.009
Tb 0.850 0.279 0.132
Ho 0.052 0.675 0.525
Mg 0.250 0.832 0.168
Ho 0.948 0.325 0.475
Mg 0.250 0.073 0.927
Tb 0.150 0.721 0.868
Tb 0.350 0.132 0.279
Tb 0.957 0.596 0.213
Tb 0.141 0.991 0.621
Ho 0.448 0.475 0.325
Ho 0.552 0.525 0.675
Mg 0.750 0.168 0.832
Tb 0.543 0.787 0.404
Tb 0.043 0.404 0.787
Tb 0.641 0.621 0.991

As for the space group: C2/c. The calculation puts the polymorph energy (0 for the lowest one) at 0.056 eV/atom. For the formation energy, the calculation gives 0.038 eV/atom. For the final energy, the calculation gives -3.974 eV/atom.